VASP calculation (PBE-GGA) on a relaxed structure of HoScZn.

abc: 4.824 4.824 3.511
angles: 90.00 90.00 120.00
Atoms (fractional coordinates):
Ho 0.000 0.000 0.000
Sc 0.667 0.333 0.526
Zn 0.333 0.667 0.407

Values from the calculation:
The formation energy comes out at -0.23 eV per formula unit. The calculation puts the calculated total energy at -4.137 eV per atom. For the density of states at the Fermi level, the calculation gives 1.277 states/eV per atom. The value obtained for the energy above the most stable polymorph in this dataset is 129 meV/atom.